# 1
Below is a relaxed Na4ZnSiPd2 crystal, with properties calculated at the PBE level.

Structure (POSCAR):
```
Na4ZnSiPd2
1.0
-4.6426 -0.6422 -0.5069
0.5885 -4.6504 0.5009
-0.7880 0.5963 6.4619
Na Zn Pd Si
4 1 2 1
Cartesian
-2.5219 -0.1693 1.3917 Na
-2.0270 -2.6463 -0.0030 Na
-0.2931 -1.8807 5.0672 Na
-0.3940 0.2982 3.2310 Na
-2.4210 -2.3481 3.2280 Zn
-2.9356 0.1438 4.7840 Pd
0.1206 -2.1937 1.6750 Pd
0.0000 0.0000 0.0000 Si
```

Summary:
Symmetry: P-4m2, No. 115
Energy (eV/cell): -22.83

=====

# 2
Below is a relaxed NaSn2Pd2 crystal, with properties calculated at the PBE level.

Structure (POSCAR):
```
NaSn2Pd2
1.0
3.1225 -3.1225 0.0000
3.1225 3.1225 0.0000
-3.1225 0.0000 5.8567
Sn Na Pd
2 1 2
Cartesian
0.0000 0.0000 4.4190 Sn
3.1225 0.0000 1.4378 Sn
0.0000 0.0000 0.0000 Na
1.5613 -1.5613 2.9284 Pd
1.5613 1.5613 2.9284 Pd
```

Summary:
Symmetry: I4/mmm, No. 139
Energy (eV/cell): -21.59

=====

# 3
Below is a relaxed NaSnPd crystal, with properties calculated at the PBE level.

Structure (POSCAR):
```
NaSnPd
1.0
0.0000 3.2423 3.2423
3.2423 0.0000 3.2423
3.2423 3.2423 0.0000
Na Pd Sn
1 1 1
Cartesian
1.6212 1.6212 1.6212 Na
0.0000 0.0000 0.0000 Pd
4.8635 4.8635 4.8635 Sn
```

Summary:
Symmetry: F-43m, No. 216
Energy (eV/cell): -11.23

=====

# 4
Below is a relaxed NaSnPd crystal, with properties calculated at the PBE level.

Structure (POSCAR):
```
NaSnPd
1.0
-1.7441 -3.9552 -1.5538
-4.1457 -1.3916 1.4059
-3.5484 0.0432 -2.9167
Pd Sn Na
1 1 1
Cartesian
-2.3595 -1.3259 -0.7662 Pd
-7.0786 -3.9777 -2.2985 Sn
0.0000 0.0000 0.0000 Na
```

Summary:
Symmetry: F-43m, No. 216
Energy (eV/cell): -9.73

=====

# 5
Below is a relaxed NaSn5Pd3 crystal, with properties calculated at the PBE level.

Structure (POSCAR):
```
NaSn5Pd3
1.0
5.5356 0.0000 0.0000
-2.7678 4.7940 0.0000
0.0000 0.0000 7.9714
Na Sn Pd
1 5 3
Cartesian
0.0000 0.0000 0.0000 Na
2.7678 1.5980 1.5984 Sn
0.0000 3.1960 6.3731 Sn
2.7678 1.5980 6.3731 Sn
0.0000 0.0000 3.9857 Sn
0.0000 3.1960 1.5984 Sn
-1.3839 2.3970 3.9857 Pd
2.7678 0.0000 3.9857 Pd
1.3839 2.3970 3.9857 Pd
```

Summary:
Symmetry: P6/mmm, No. 191
Energy (eV/cell): -39.60

=====

# 6
Below is a relaxed NaSrSn4Pd2 crystal, with properties calculated at the PBE level.

Structure (POSCAR):
```
NaSrSn4Pd2
1.0
7.5861 0.0000 0.0000
0.0000 2.2586 5.6458
0.0000 -2.2586 5.6458
Sn Pd Na Sr
4 2 1 1
Cartesian
1.5045 0.0000 1.6409 Sn
2.2217 0.0000 9.6789 Sn
6.0816 0.0000 1.6409 Sn
5.3645 0.0000 9.6789 Sn
3.7931 0.0000 3.2932 Pd
0.0000 0.0000 7.9579 Pd
0.0000 0.0000 4.8689 Na
3.7931 0.0000 6.4070 Sr
```

Summary:
Symmetry: Amm2, No. 38
Energy (eV/cell): -33.74

=====

# 7
Below is a relaxed NaTlSnPd crystal, with properties calculated at the PBE level.

Structure (POSCAR):
```
NaTlSnPd
1.0
0.0000 3.5015 3.5015
3.5015 0.0000 3.5015
3.5015 3.5015 0.0000
Na Pd Sn Tl
1 1 1 1
Cartesian
5.2522 5.2522 5.2522 Na
1.7507 1.7507 1.7507 Pd
0.0000 0.0000 0.0000 Sn
3.5015 3.5015 3.5015 Tl
```

Summary:
Symmetry: F-43m, No. 216
Energy (eV/cell): -13.56
Energy above the lowest structure with this stoichiometry (eV/atom): 0.000

=====

# 8
Below is a relaxed NaTlSnPd crystal, with properties calculated at the PBE level.

Structure (POSCAR):
```
NaTlSnPd
1.0
2.3016 -4.4169 -0.7263
2.1047 -2.4100 3.8854
-2.0737 -4.2370 1.7554
Na Tl Pd Sn
1 1 1 1
Cartesian
1.7494 -8.2979 3.6859 Na
0.5831 -2.7660 1.2286 Tl
1.1663 -5.5320 2.4572 Pd
0.0000 0.0000 0.0000 Sn
```

Summary:
Symmetry: F-43m, No. 216
Energy (eV/cell): -12.93
Energy above the lowest structure with this stoichiometry (eV/atom): 0.156

=====

Look up the energy of the sixth one.
-33.74 eV/cell

=====

The highest energy belongs to which entry?
number 4

=====

The lowest energy belongs to which entry?
NaSn5Pd3